1.
Ba2MgRu: relaxed, PBE.

For the total magnetization, the calculation gives 0.7 μB/f.u. The offset from the most stable computed form comes out at 0.3512 eV/atom. The energy of formation is 0.507 eV per atom. The value obtained for the density of states at the Fermi level is 10.88 states/eV per cell.

It has space group Cmmm (No. 65), with a = 7.6919 Å, b = 7.7064 Å, c = 4.3154 Å, α = 90.00°, β = 90.00° and γ = 90.00°. The distinct sites, in fractional coordinates, are Ba at (0.2500, 0.2500, 0.0000), Mg at (0.0000, 0.0000, 0.5000) and Ru at (0.0000, 0.5000, 0.5000).

=====

2.
BaMgRu2: relaxed, PBE.

For the total magnetization, the calculation gives 1.8 μB/f.u. The energy of formation is 0.830 eV per atom. The value obtained for the density of states at the Fermi level is 5.29 states/eV per cell.

It has space group P4/mmm (No. 123), with a = 4.7712 Å, b = 4.7712 Å, c = 3.5755 Å, α = 90.00°, β = 90.00° and γ = 90.00°. The distinct sites, in fractional coordinates, are Ba at (0.0000, 0.0000, 0.0000), Mg at (0.5000, 0.5000, 0.0000) and Ru at (0.0000, 0.5000, 0.5000).

=====

3.
BaMg2Ru: relaxed, PBE.

For the total magnetization, the calculation gives 0.0 μB/f.u. The energy of formation is 0.382 eV per atom. The value obtained for the density of states at the Fermi level is 6.57 states/eV per cell.

It has space group I4/mmm (No. 139), with a = 4.5599 Å, b = 4.5599 Å, c = 9.0079 Å, α = 90.00°, β = 90.00° and γ = 90.00°. The distinct sites, in fractional coordinates, are Ba at (0.0000, 0.0000, 0.0000), Mg at (0.0000, 0.5000, 0.2500) and Ru at (0.0000, 0.0000, 0.5000).

=====

4.
BaMgRu2: relaxed, PBE.

For the total magnetization, the calculation gives 0.0 μB/f.u. The energy of formation is 0.660 eV per atom. The value obtained for the density of states at the Fermi level is 22.88 states/eV per cell.

It has space group I-42d (No. 122), with a = 4.6598 Å, b = 4.6598 Å, c = 18.7878 Å, α = 90.00°, β = 90.00° and γ = 90.00°. The distinct sites, in fractional coordinates, are Ba at (0.0000, 0.0000, 0.0000), Mg at (0.0000, 0.0000, 0.5000) and Ru at (0.0937, 0.2500, 0.6250).

=====

5.
BaMg2Ru: relaxed, PBE.

For the total magnetization, the calculation gives 0.0 μB/f.u. The energy of formation is 0.134 eV per atom. The value obtained for the density of states at the Fermi level is 4.85 states/eV per cell.

It has space group Cm (No. 8), with a = 8.1756 Å, b = 4.7145 Å, c = 6.4137 Å, α = 90.00°, β = 115.11° and γ = 90.00°. The distinct sites, in fractional coordinates, are Ba at (0.0000, 0.0000, 0.0000), Mg at (0.0200, 0.5000, 0.5574), Mg at (0.3089, 0.5000, 0.4239) and Ru at (0.1868, 0.0000, 0.5573).

=====

6.
BaMg2Ru: relaxed, PBE.

For the total magnetization, the calculation gives 0.0 μB/f.u. The energy of formation is 0.249 eV per atom. The value obtained for the density of states at the Fermi level is 7.42 states/eV per cell.

It has space group Immm (No. 71), with a = 3.5364 Å, b = 5.4530 Å, c = 10.6697 Å, α = 90.00°, β = 90.00° and γ = 90.00°. The distinct sites, in fractional coordinates, are Ba at (0.0000, 0.0000, 0.0000), Mg at (0.0000, 0.5000, 0.1925) and Ru at (0.0000, 0.0000, 0.5000).